[1]
BaAg3: optimized geometry, PBE-GGA.

Results
The formation energy from the elements comes out at 122 meV per atom.

abc: 4.3958 4.3958 7.3854
angles: 90.00 90.00 120.00
With the nearest neighbours (Å) after each atom.
Sites, in units of the cell vectors:
Ba 0.6667 0.3333 0.7500  8 Ag 3.42-3.69
Ag 0.0000 0.0000 0.0611  4 Ag 2.79-2.90
Ag 0.0000 0.0000 0.4389  4 Ag 2.79-2.90
Ag 0.6667 0.3333 0.2500  6 Ag 2.90


[2]
BaSi2S4: optimized geometry, PBE-GGA.

Results
Its formation energy without anion corrections is -0.70 eV per atom.

abc: 6.2299 6.2299 6.2299
angles: 102.30 102.30 125.04
With the nearest neighbours (Å) after each atom.
Sites, in units of the cell vectors:
Ba 0.5000 0.5000 0.0000  4 S 3.28
Si 0.2500 0.7500 0.5000  4 S 2.26
Si 0.7500 0.2500 0.5000  4 S 2.26
S 0.3144 0.1239 0.4383  2 Si 2.26
S 0.8761 0.3144 0.1905  2 Si 2.26
S 0.1239 0.6856 0.8095  2 Si 2.26
S 0.6856 0.8761 0.5617  2 Si 2.26


[3]
Cr2CoPdI: optimized geometry, PBE-GGA.

Results
Its formation energy without anion corrections is 1.61 eV per atom.

abc: 5.0295 4.9308 5.0295
angles: 90.00 90.00 90.00
With the nearest neighbours (Å) after each atom.
Sites, in units of the cell vectors:
I 0.0000 0.0000 0.0000  2 Pd 2.47, 4 Cr 2.51
Cr 0.0000 0.0000 0.5000  2 I 2.51
Cr 0.5000 0.0000 0.0000  2 I 2.51
Co 0.5000 0.5000 0.5000  8 Cr 3.52, 4 Pd 3.56
Pd 0.0000 0.5000 0.0000  2 I 2.47


[4]
CdFe2Si: optimized geometry, PBE-GGA.

Results
Its formation energy without anion corrections is 0.28 eV per atom.

abc: 4.6310 4.6310 4.6310
angles: 130.55 130.55 72.53
With the nearest neighbours (Å) after each atom.
Sites, in units of the cell vectors:
Cd 0.7500 0.2500 0.5000  8 Fe 2.69, 4 Si 2.74
Fe 0.0000 0.0000 0.0000  4 Cd 2.69, 4 Si 2.69, 4 Fe 2.74
Fe 0.5000 0.5000 0.0000  4 Si 2.69, 4 Cd 2.69, 4 Fe 2.74
Si 0.2500 0.7500 0.5000  8 Fe 2.69, 4 Cd 2.74


One value per record, in order, for total magnetic moment: 0.000; 0.000; 10.080; 4.670 μB/cell.